An optimized crystal structure of NdTh2Te3, computed with PBE-GGA.

abc: 3.860 3.860 11.574
angles: 90.00 90.00 90.00
Fractional coordinates of all 6 atoms:
Nd (0.000, 0.000, 0.000)
Th (0.000, 0.000, 0.333)
Th (0.000, 0.000, 0.667)
Te (0.500, 0.500, 0.170)
Te (0.500, 0.500, 0.500)
Te (0.500, 0.500, 0.830)

raw formation energy	-113.31	kJ per mole of atoms
raw total energy	-6.013	eV/atom